Here is TlIn at its PBEsol-relaxed geometry from the Alexandria database. Energies are from meta-GGA SCAN.

```
TlIn
1.0
-1.773 -2.343 -1.648
1.090 -0.605 3.130
-9.280 4.182 4.038
Tl In
2 2
Direct
0.333 0.667 0.632
0.667 0.333 0.368
0.333 0.667 0.118
0.667 0.333 0.882
```

Results
Calculated volume in Å³/cell: 107.7
Magnetization in μB per formula unit: 0.00
DFT formation energy in eV per atom: 0.042
Total energy in eV for the cell shown: -211.322

Here is TlIn at its PBEsol-relaxed geometry from the Alexandria database. Energies are from meta-GGA SCAN.

```
TlIn
1.0
5.184 0.000 0.000
2.592 4.490 0.000
2.592 1.497 4.640
In Tl
2 2
Direct
0.372 0.372 0.883
0.628 0.628 0.117
0.877 0.877 0.370
0.123 0.123 0.630
```

Results
Calculated volume in Å³/cell: 108.0
Magnetization in μB per formula unit: 0.00
DFT formation energy in eV per atom: 0.061
Total energy in eV for the cell shown: -211.246

Here is TlIn2 at its PBEsol-relaxed geometry from the Alexandria database. Energies are from meta-GGA SCAN.

```
TlIn2
1.0
-4.735 2.423 0.874
-2.030 -4.803 2.322
2.661 3.947 3.475
Tl In
2 4
Direct
0.750 0.820 0.000
0.250 0.180 0.000
0.250 0.843 0.340
0.750 0.157 0.660
0.750 0.497 0.340
0.250 0.503 0.660
```

Results
Calculated volume in Å³/cell: 158.7
Magnetization in μB per formula unit: 0.00
E above lowest polymorph in meV per atom: 25
DFT formation energy in eV per atom: 0.069
Total energy in eV for the cell shown: -277.848

Copy entry 1 word for word.
Here is TlIn at its PBEsol-relaxed geometry from the Alexandria database. Energies are from meta-GGA SCAN.

```
TlIn
1.0
-1.773 -2.343 -1.648
1.090 -0.605 3.130
-9.280 4.182 4.038
Tl In
2 2
Direct
0.333 0.667 0.632
0.667 0.333 0.368
0.333 0.667 0.118
0.667 0.333 0.882
```

Results
Calculated volume in Å³/cell: 107.7
Magnetization in μB per formula unit: 0.00
DFT formation energy in eV per atom: 0.042
Total energy in eV for the cell shown: -211.322